Below is a relaxed Hg2MoO6 crystal, with properties calculated at the PBE+U level.

Lattice parameters (Å, degrees): 4.9972 4.9972 10.2165 90.00 90.00 90.00
Positions (direct):
Hg  0.0000  0.0000  0.1638
Hg  0.0000  0.0000  0.8362
Hg  0.5000  0.5000  0.3362
Hg  0.5000  0.5000  0.6638
Mo  0.0000  0.0000  0.5000
Mo  0.5000  0.5000  0.0000
O  0.1820  0.1820  0.3573
O  0.1820  0.1820  0.6427
O  0.2235  0.2235  0.0000
O  0.2765  0.7235  0.5000
O  0.3180  0.6820  0.1427
O  0.3180  0.6820  0.8573
O  0.6820  0.3180  0.1427
O  0.6820  0.3180  0.8573
O  0.7235  0.2765  0.5000
O  0.7765  0.7765  0.0000
O  0.8180  0.8180  0.3573
O  0.8180  0.8180  0.6427

Computed properties:
* N(E_F): 8.01 states/eV/f.u.
* VASP energy: -0.3448 Ry per atom